Entry 1:
16
Lattice="6.805 0.000 0.000 0.000 9.489 0.000 0.000 0.000 6.692" Properties=species:S:1:pos:R:3 comment="PBEsol Tl3As, relaxed" dos_at_fermi_per_ev_atom=0.487 e_form_ev_per_fu=0.2 mass_density_g_cm3=10.576 pbc="T T T"
Tl 0.037 2.372 0.580
Tl 1.435 0.422 4.552
Tl 1.435 4.323 4.552
Tl 1.968 5.167 1.207
Tl 1.968 9.068 1.207
Tl 3.366 7.117 3.925
Tl 3.440 2.372 2.766
Tl 4.837 0.422 5.485
Tl 4.837 4.323 5.485
Tl 5.371 5.167 2.139
Tl 5.371 9.068 2.139
Tl 6.768 7.117 6.112
As 0.432 7.117 3.232
As 2.971 2.372 6.577
As 3.835 7.117 0.114
As 6.373 2.372 3.460

---

Entry 2:
6
Lattice="7.282 -1.750 0.000 7.282 1.750 0.000 -2.479 0.000 6.003" Properties=species:S:1:pos:R:3 comment="PBEsol TlAs, relaxed" dos_at_fermi_per_ev_atom=0.361 e_form_ev_per_fu=0.2 mass_density_g_cm3=9.097 pbc="T T T"
Tl 0.000 0.000 0.000
Tl -0.281 0.000 3.612
Tl 3.152 0.000 3.746
As 5.112 0.000 1.454
As 8.956 0.000 1.738
As 10.991 0.000 0.309

---

Entry 3:
6
Lattice="5.474 0.000 0.000 0.000 1.708 8.641 0.000 -1.708 8.641" Properties=species:S:1:pos:R:3 comment="PBEsol Tl5As, relaxed" polymorph_energy_mev_per_atom=37 dos_at_fermi_per_ev_atom=0.408 e_form_ev_per_fu=0.4 mass_density_g_cm3=11.273 pbc="T T T"
Tl 0.000 0.000 0.000
Tl 0.000 0.000 5.378
Tl 2.737 0.000 1.811
Tl 2.737 0.000 7.434
Tl 2.737 0.000 13.196
As 0.000 0.000 11.419